Computed, not measured: crystalline Cs4Rb3Hg5 at its relaxed geometry at the PBE-GGA level of DFT.

Cell and atoms, written as CIF:
```
data_Cs4Rb3Hg5
_cell_length_a 15.242
_cell_length_b 7.385
_cell_length_c 14.317
_cell_angle_alpha 90.00
_cell_angle_beta 116.24
_cell_angle_gamma 90.00
_symmetry_space_group_name_H-M 'C 1 2/m 1'
_symmetry_Int_Tables_number 12
loop_
_symmetry_equiv_pos_as_xyz
'x,y,z'
'-x,-y,-z'
'-x,y,-z'
'x,-y,z'
'x+1/2,y+1/2,z'
'-x+1/2,-y+1/2,-z'
'-x+1/2,y+1/2,-z'
'x+1/2,-y+1/2,z'
loop_
_atom_site_label
_atom_site_type_symbol
_atom_site_fract_x
_atom_site_fract_y
_atom_site_fract_z
_atom_site_occupancy
Cs1 Cs 0.031 0.000 0.279 1
Cs2 Cs 0.236 0.000 0.633 1
Rb1 Rb 0.000 0.500 0.000 1
Rb2 Rb 0.230 0.500 0.876 1
Hg1 Hg 0.000 0.000 0.000 1
Hg2 Hg 0.005 0.500 0.361 1
Hg3 Hg 0.167 0.500 0.584 1
```

## Properties
Total DFT energy (no corrections) in eV per atom: -0.8180
ΔE_f in eV per atom: -0.166

=====

Computed, not measured: crystalline La3Pr2NdP6 at its relaxed geometry at the PBE-GGA level of DFT.

Cell and atoms, written as CIF:
```
data_La3Pr2NdP6
_cell_length_a 7.333
_cell_length_b 12.700
_cell_length_c 7.336
_cell_angle_alpha 90.00
_cell_angle_beta 109.45
_cell_angle_gamma 90.00
_symmetry_space_group_name_H-M 'C 1 2/m 1'
_symmetry_Int_Tables_number 12
loop_
_symmetry_equiv_pos_as_xyz
'x,y,z'
'-x,-y,-z'
'-x,y,-z'
'x,-y,z'
'x+1/2,y+1/2,z'
'-x+1/2,-y+1/2,-z'
'-x+1/2,y+1/2,-z'
'x+1/2,-y+1/2,z'
loop_
_atom_site_label
_atom_site_type_symbol
_atom_site_fract_x
_atom_site_fract_y
_atom_site_fract_z
_atom_site_occupancy
La1 La 0.000 0.000 0.000 1
La2 La 0.000 0.333 0.000 1
Pr1 Pr 0.000 0.167 0.500 1
Nd1 Nd 0.000 0.500 0.500 1
P1 P 0.248 0.334 0.747 1
P2 P 0.250 0.000 0.747 1
```

## Properties
Total DFT energy (no corrections) in eV per atom: -6.6807
ΔE_f in eV per atom: -1.550

=====

Computed, not measured: crystalline CePrMgHg at its relaxed geometry at the PBE-GGA level of DFT.

Cell and atoms, written as CIF:
```
data_CePrMgHg
_cell_length_a 7.727
_cell_length_b 7.727
_cell_length_c 7.727
_cell_angle_alpha 90.00
_cell_angle_beta 90.00
_cell_angle_gamma 90.00
_symmetry_space_group_name_H-M 'F -4 3 m'
_symmetry_Int_Tables_number 216
_symmetry_space_group_name_Hall 'F -4 2 3'
loop_
_atom_site_label
_atom_site_type_symbol
_atom_site_fract_x
_atom_site_fract_y
_atom_site_fract_z
_atom_site_occupancy
Ce1 Ce 0.000 0.000 0.000 1
Pr1 Pr 0.000 0.000 0.500 1
Mg1 Mg 0.250 0.250 0.250 1
Hg1 Hg 0.250 0.250 0.750 1
```

## Properties
Total DFT energy (no corrections) in eV per atom: -3.3122
ΔE_f in eV per atom: -0.160